1.
PBE-GGA CrCu2Ir, optimized geometry; formation energy from the elements = 43 meV/atom; space-group type = No. 25; D(E_F) = 2.7 states/eV/cell
1.0
2.722 0.000 0.000
0.000 3.601 0.000
0.000 0.000 5.285
Cr Cu Ir
1 2 1
Cartesian
0.000 0.000 0.000
0.000 0.000 2.634
1.361 1.800 1.475
1.361 1.800 4.138

2.
PBE-GGA Mg4Si3, optimized geometry; formation energy without anion corrections = 61 meV per atom; space-group type = No. 2; D(E_F) = 5.5 states/eV/cell
1.0
5.328 0.000 0.000
-0.322 5.413 0.000
-2.239 -2.147 8.937
Mg Si
8 6
Cartesian
-0.191 1.381 0.853
-1.078 -0.796 7.054
0.268 -0.281 4.362
0.296 2.063 6.326
2.471 1.203 2.611
2.499 3.547 4.575
3.845 4.062 1.883
2.957 1.885 8.084
-0.311 2.307 3.587
1.167 3.920 2.000
2.664 0.000 0.000
2.503 2.706 0.000
1.600 -0.654 6.937
3.078 0.959 5.350

3.
PBE-GGA HfScCdCu, optimized geometry; formation energy from the elements = -51 meV/atom; space-group type = No. 216; D(E_F) = 4.0 states/eV/cell
1.0
0.000 3.393 3.393
3.393 0.000 3.393
3.393 3.393 0.000
Hf Sc Cd Cu
1 1 1 1
Cartesian
0.000 0.000 0.000
3.393 3.393 3.393
5.090 5.090 5.090
1.697 1.697 1.697

4.
PBE-GGA YMg3N, optimized geometry; formation energy without anion corrections = 2192 meV per atom; space-group type = No. 221; D(E_F) = 10.4 states/eV/cell
1.0
6.008 0.000 0.000
0.000 6.008 0.000
0.000 0.000 6.008
Y Mg N
1 3 1
Cartesian
0.000 0.000 0.000
0.000 0.000 3.004
0.000 3.004 0.000
3.004 0.000 0.000
3.004 3.004 3.004

5.
PBE-GGA Na5Er4Si4O16F, optimized geometry; formation energy without anion corrections = -2945 meV per atom; space-group type = No. 82; D(E_F) = 0.0 states/eV/cell
1.0
-5.795 5.795 2.712
5.795 -5.795 2.712
5.795 5.795 -2.712
Na Er Si O F
5 4 4 16 1
Cartesian
0.000 0.000 0.000
4.757 1.217 0.051
4.578 -1.037 2.661
1.217 6.832 -0.051
1.037 4.578 2.763
7.127 3.688 0.130
3.688 4.462 -0.130
2.107 1.332 2.582
-1.332 2.107 2.842
8.725 1.210 -0.065
1.210 2.864 0.065
4.585 2.931 2.777
-2.931 4.585 2.647
5.405 3.410 -1.302
7.091 1.284 0.085
3.422 -3.041 2.320
2.147 -0.570 1.267
2.754 2.372 0.392
3.648 6.365 -1.445
1.284 4.498 -0.085
0.389 2.384 1.410
5.224 3.648 1.445
4.511 1.296 2.627
2.372 8.835 -0.392
2.384 -0.389 4.014
3.410 6.184 1.302
3.041 3.422 3.104
-1.296 4.511 2.797
0.570 2.147 4.157
0.000 0.000 2.712

6.
PBE-GGA Sc2InSn5, optimized geometry; formation energy from the elements = -229 meV/atom; space-group type = No. 139; D(E_F) = 5.0 states/eV/cell
1.0
-3.798 3.798 3.462
3.798 -3.798 3.462
3.798 3.798 -3.462
Sc In Sn
2 1 5
Cartesian
3.798 0.000 0.000
0.000 3.798 0.000
0.000 0.000 0.000
1.899 1.899 -1.731
1.899 -1.899 1.731
-1.899 1.899 1.731
0.000 0.000 3.462
1.899 1.899 1.731

7.
PBE-GGA Pm2ScTl, optimized geometry; formation energy from the elements = -185 meV/atom; space-group type = No. 123; D(E_F) = 5.2 states/eV/cell
1.0
4.800 0.000 0.000
0.000 4.800 0.000
0.000 0.000 4.879
Pm Sc Tl
2 1 1
Cartesian
0.000 2.400 0.000
2.400 0.000 0.000
0.000 0.000 2.439
2.400 2.400 2.439

8.
PBE-GGA Cs2NaTeSe4, optimized geometry; formation energy without anion corrections = -628 meV per atom; space-group type = No. 70; D(E_F) = 10.4 states/eV/cell
1.0
0.000 7.299 13.296
3.423 0.000 13.296
3.423 7.299 0.000
Cs Na Te Se
4 2 2 8
Cartesian
2.567 5.474 1.479
4.279 9.124 8.127
2.567 5.474 18.465
4.279 9.124 25.113
0.856 1.825 3.324
5.991 12.773 23.268
2.567 5.474 9.972
4.279 9.124 16.620
2.794 3.446 4.717
4.052 7.096 11.365
2.340 7.502 4.717
2.340 3.446 15.227
4.506 11.152 11.365
4.506 7.096 21.875
2.794 7.502 15.227
4.052 11.152 21.875

9.
PBE-GGA Ac3Sm2PuN6, optimized geometry; formation energy without anion corrections = -1185 meV per atom; space-group type = No. 12; D(E_F) = 7.3 states/eV/cell
1.0
3.198 -5.515 0.000
3.198 5.515 0.000
-2.131 0.000 6.135
Ac Sm Pu N
3 2 1 6
Cartesian
0.000 0.000 0.000
3.198 1.848 0.000
3.198 -1.848 0.000
2.132 3.682 3.068
2.132 -3.682 3.068
2.132 0.000 3.068
1.144 1.703 1.756
0.106 0.000 4.466
1.144 -1.703 1.756
3.120 1.703 4.380
4.158 0.000 1.669
3.120 -1.703 4.380

Q: Look up the D(E_F) of the fifth one.
A: 0.0 states/eV/cell